No. 1
Pm6NdHo after structural relaxation. Source: Alexandria via LeMat-Bulk, functional PBE.

Summary:
Magnetization: 0.00 Bohr magnetons per cell
SG: P4/mmm, No. 123
Calculated total energy: -0.3465 Ry per atom
Formation enthalpy at 0 K: 0.0171 eV per atom

a b c (Å): 5.1433 5.1433 10.2787
angles (deg): 90.00 90.00 90.00
Sites, in units of the cell vectors:
Pm 0.5000 0.5000 0.0000
Pm 0.5000 0.5000 0.5000
Pm 0.5000 0.0000 0.2524
Pm 0.5000 0.0000 0.7476
Pm 0.0000 0.5000 0.2524
Pm 0.0000 0.5000 0.7476
Nd 0.0000 0.0000 0.0000
Ho 0.0000 0.0000 0.5000

---

No. 2
Pm2Nd2Ho5 after structural relaxation. Source: Alexandria via LeMat-Bulk, functional PBE.

Summary:
Magnetization: 0.00 Bohr magnetons per cell
SG: Ima2, No. 46
Energy relative to the lowest polymorph listed for this composition: 0.0 meV per atom
Calculated total energy: -0.3273 Ry per atom
Formation enthalpy at 0 K: 0.2046 eV per atom

a b c (Å): 11.8907 6.7516 10.1450
angles (deg): 109.44 125.88 90.00
Sites, in units of the cell vectors:
Pm 0.1231 0.6839 0.2529
Pm 0.8769 0.4309 0.7471
Pm 0.6299 0.1839 0.2529
Pm 0.3701 0.9309 0.7471
Nd 0.0000 0.0109 0.0000
Nd 0.5000 0.5109 0.0000
Nd 0.2595 0.3553 0.5000
Nd 0.7405 0.8553 0.5000
Ho 0.2038 0.6524 0.8938
Ho 0.7962 0.7586 0.1062
Ho 0.1899 0.1524 0.8938
Ho 0.8101 0.2586 0.1062
Ho 0.3768 0.0359 0.2845
Ho 0.6232 0.7515 0.7155
Ho 0.4077 0.5359 0.2845
Ho 0.5923 0.2515 0.7155
Ho 0.0054 0.6565 0.5000
Ho 0.9946 0.1565 0.5000

---

No. 3
Pm6Nd12Ho after structural relaxation. Source: Alexandria via LeMat-Bulk, functional PBE.

Summary:
Magnetization: 0.00 Bohr magnetons per cell
SG: R-3, No. 148
Energy relative to the lowest polymorph listed for this composition: 8.5 meV per atom
Calculated total energy: -0.3399 Ry per atom
Formation enthalpy at 0 K: 0.1279 eV per atom

a b c (Å): 8.7568 8.7568 8.7568
angles (deg): 89.20 89.20 89.20
Sites, in units of the cell vectors:
Pm 0.7383 0.9042 0.2999
Pm 0.7001 0.2617 0.0958
Pm 0.0958 0.7001 0.2617
Pm 0.2617 0.0958 0.7001
Pm 0.2999 0.7383 0.9042
Pm 0.9042 0.2999 0.7383
Nd 0.7801 0.5358 0.4347
Nd 0.4347 0.7801 0.5358
Nd 0.5358 0.4347 0.7801
Nd 0.2199 0.4642 0.5653
Nd 0.5653 0.2199 0.4642
Nd 0.4642 0.5653 0.2199
Nd 0.0176 0.1926 0.3603
Nd 0.8074 0.6397 0.9824
Nd 0.6397 0.9824 0.8074
Nd 0.9824 0.8074 0.6397
Nd 0.1926 0.3603 0.0176
Nd 0.3603 0.0176 0.1926
Ho 0.0000 0.0000 0.0000

---

The lowest formation enthalpy at 0 K belongs to which entry?
Pm6NdHo

---

magnetization of number 3 (Pm6Nd12Ho)?
0.00 Bohr magnetons per cell

---

The highest calculated total energy belongs to which entry?
Pm2Nd2Ho5